# 1
# meta-GGA SCAN HfAgF2, PBEsol geometry
data_HfAgF2
_symmetry_space_group_name_H-M 'F m -3 m'
_symmetry_Int_Tables_number 225
_symmetry_space_group_name_Hall '-F 4 2 3'
_cell_length_a 5.9758
_cell_length_b 5.9758
_cell_length_c 5.9758
_cell_angle_alpha 90.00
_cell_angle_beta 90.00
_cell_angle_gamma 90.00
loop_
_atom_site_label
_atom_site_fract_x
_atom_site_fract_y
_atom_site_fract_z
_atom_site_occupancy
Hf1 0.0000 0.0000 0.0000 1
Ag1 0.0000 0.0000 0.5000 1
F1 0.2500 0.2500 0.2500 1
# E_form (uncorrected): -1106.7 meV/atom

---

# 2
# meta-GGA SCAN RbAlSn2As, PBEsol geometry
data_RbAlSn2As
_symmetry_space_group_name_H-M 'P 4/m m m'
_symmetry_Int_Tables_number 123
_symmetry_space_group_name_Hall '-P 4 2'
_cell_length_a 5.8149
_cell_length_b 5.8149
_cell_length_c 4.7905
_cell_angle_alpha 90.00
_cell_angle_beta 90.00
_cell_angle_gamma 90.00
loop_
_atom_site_label
_atom_site_fract_x
_atom_site_fract_y
_atom_site_fract_z
_atom_site_occupancy
Rb1 0.0000 0.0000 0.0000 1
Al1 0.5000 0.5000 0.0000 1
Sn1 0.0000 0.5000 0.5000 1
As1 0.5000 0.5000 0.5000 1
# E_form: 0.371 eV/atom

---

# 3
# meta-GGA SCAN Zr2TaSi, PBEsol geometry
data_Zr2TaSi
_symmetry_space_group_name_H-M 'I -4 m 2'
_symmetry_Int_Tables_number 119
_symmetry_space_group_name_Hall 'I -4 -2'
_cell_length_a 4.0254
_cell_length_b 4.0254
_cell_length_c 9.1173
_cell_angle_alpha 90.00
_cell_angle_beta 90.00
_cell_angle_gamma 90.00
loop_
_atom_site_label
_atom_site_fract_x
_atom_site_fract_y
_atom_site_fract_z
_atom_site_occupancy
Zr1 0.0000 0.0000 0.0000 1
Zr2 0.0000 0.5000 0.2500 1
Ta1 0.0000 0.5000 0.7500 1
Si1 0.0000 0.0000 0.5000 1
# E_form (uncorrected): -163.1 meV/atom

---

# 4
# meta-GGA SCAN YGeIr2Ru, PBEsol geometry
data_YGeIr2Ru
_symmetry_space_group_name_H-M 'P 4/m m m'
_symmetry_Int_Tables_number 123
_symmetry_space_group_name_Hall '-P 4 2'
_cell_length_a 4.8127
_cell_length_b 4.8127
_cell_length_c 5.0023
_cell_angle_alpha 90.00
_cell_angle_beta 90.00
_cell_angle_gamma 90.00
loop_
_atom_site_label
_atom_site_fract_x
_atom_site_fract_y
_atom_site_fract_z
_atom_site_occupancy
Y1 0.0000 0.0000 0.0000 1
Ge1 0.0000 0.0000 0.5000 1
Ir1 0.0000 0.5000 0.0000 1
Ru1 0.5000 0.5000 0.5000 1
# E_form: 2.255 eV/atom

---

# 5
# meta-GGA SCAN NaMoP2Rh, PBEsol geometry
data_NaMoP2Rh
_symmetry_space_group_name_H-M 'P 4/m m m'
_symmetry_Int_Tables_number 123
_symmetry_space_group_name_Hall '-P 4 2'
_cell_length_a 4.4893
_cell_length_b 4.4893
_cell_length_c 4.7242
_cell_angle_alpha 90.00
_cell_angle_beta 90.00
_cell_angle_gamma 90.00
loop_
_atom_site_label
_atom_site_fract_x
_atom_site_fract_y
_atom_site_fract_z
_atom_site_occupancy
Na1 0.0000 0.0000 0.0000 1
Mo1 0.5000 0.5000 0.0000 1
P1 0.0000 0.5000 0.5000 1
Rh1 0.0000 0.0000 0.5000 1
# E_form: 0.772 eV/atom

---

# 6
# meta-GGA SCAN PC, PBEsol geometry
data_PC
_symmetry_space_group_name_H-M 'P 4/m m m'
_symmetry_Int_Tables_number 123
_symmetry_space_group_name_Hall '-P 4 2'
_cell_length_a 2.6567
_cell_length_b 2.6567
_cell_length_c 2.9972
_cell_angle_alpha 90.00
_cell_angle_beta 90.00
_cell_angle_gamma 90.00
loop_
_atom_site_label
_atom_site_fract_x
_atom_site_fract_y
_atom_site_fract_z
_atom_site_occupancy
P1 0.0000 0.0000 0.0000 1
C1 0.5000 0.5000 0.0000 1
# E_form: 1.284 eV/atom
# relative energy among the computed polymorphs: 0 meV/atom

---

# 7
# meta-GGA SCAN CdCuPt2, PBEsol geometry
data_CdCuPt2
_symmetry_space_group_name_H-M 'C 1 m 1'
_symmetry_Int_Tables_number 8
_symmetry_space_group_name_Hall 'C -2y'
_cell_length_a 9.1290
_cell_length_b 2.8001
_cell_length_c 4.8096
_cell_angle_alpha 90.00
_cell_angle_beta 100.38
_cell_angle_gamma 90.00
loop_
_atom_site_label
_atom_site_fract_x
_atom_site_fract_y
_atom_site_fract_z
_atom_site_occupancy
Cd1 0.0000 0.0000 0.0000 1
Cu1 0.2450 0.0000 0.7332 1
Pt1 0.0020 0.5000 0.5108 1
Pt2 0.2545 0.5000 0.2524 1
# E_form: -0.156 eV/atom

---

# 8
# meta-GGA SCAN HfSbRuI2, PBEsol geometry
data_HfSbRuI2
_symmetry_space_group_name_H-M 'P 4/m m m'
_symmetry_Int_Tables_number 123
_symmetry_space_group_name_Hall '-P 4 2'
_cell_length_a 5.1584
_cell_length_b 5.1584
_cell_length_c 5.0716
_cell_angle_alpha 90.00
_cell_angle_beta 90.00
_cell_angle_gamma 90.00
loop_
_atom_site_label
_atom_site_fract_x
_atom_site_fract_y
_atom_site_fract_z
_atom_site_occupancy
Hf1 0.0000 0.0000 0.0000 1
Sb1 0.5000 0.5000 0.0000 1
Ru1 0.5000 0.5000 0.5000 1
I1 0.0000 0.5000 0.5000 1
# relative energy among the computed polymorphs: 0 meV/atom
# E_form (uncorrected): 882.2 meV/atom

---

One value per record, in order, for size of the total moment: 0.000 0.000 0.001 3.522 3.648 0.001 0.000 1.019 μB per formula unit.